Entry 1:
{
  "formula": "Hf4Al3",
  "functional": "PBE",
  "state": "relaxed",
  "energy_ev_per_atom": -7.412,
  "dos_ef_per_ev_cell": 5.86,
  "density_g_cm3": 9.29,
  "crystal_system": "monoclinic",
  "spacegroup": "C2/m",
  "cell": [[3.1685, 0.0000, 0.0000], [0.0000, 6.5652, -0.3831], [-1.5842, -2.4702, 6.9727]],
  "species": ["Al", "Al", "Al", "Hf", "Hf", "Hf", "Hf"],
  "fractional_positions": [[0.0000, 0.0000, 0.0000], [0.7839, 0.6895, 0.5677], [0.2161, 0.3105, 0.4323], [0.4357, 0.6207, 0.8715], [0.1505, 0.8248, 0.3009], [0.5643, 0.3793, 0.1285], [0.8495, 0.1752, 0.6991]]
}

=====

Entry 2:
{
  "formula": "HfAl",
  "functional": "PBE",
  "state": "relaxed",
  "energy_ev_per_atom": -6.722,
  "dos_ef_per_ev_cell": 5.10,
  "density_g_cm3": 8.25,
  "crystal_system": "tetragonal",
  "spacegroup": "P4_2/mnm",
  "cell": [[5.4514, 0.0000, 0.0000], [0.0000, 5.4514, 0.0000], [0.0000, 0.0000, 5.5678]],
  "species": ["Hf", "Hf", "Hf", "Hf", "Al", "Al", "Al", "Al"],
  "fractional_positions": [[0.1851, 0.1851, 0.0000], [0.8149, 0.8149, 0.0000], [0.3149, 0.6851, 0.5000], [0.6851, 0.3149, 0.5000], [0.8207, 0.8207, 0.5000], [0.1793, 0.1793, 0.5000], [0.6793, 0.3207, 0.0000], [0.3207, 0.6793, 0.0000]]
}

=====

Entry 3:
{
  "formula": "HfAl",
  "functional": "PBE",
  "state": "relaxed",
  "energy_ev_per_atom": -7.142,
  "dos_ef_per_ev_cell": 9.44,
  "density_g_cm3": 8.87,
  "crystal_system": "hexagonal",
  "spacegroup": "P6_3/mmc",
  "cell": [[-4.4278, 2.9544, 1.2881], [-0.3088, -5.4653, -0.1684], [2.2376, -0.3910, 8.5886]],
  "species": ["Al", "Al", "Al", "Al", "Al", "Al", "Hf", "Hf", "Hf", "Hf", "Hf", "Hf"],
  "fractional_positions": [[0.1746, 0.3492, 0.7500], [0.3492, 0.1746, 0.2500], [0.8254, 0.1746, 0.2500], [0.8254, 0.6508, 0.2500], [0.1746, 0.8254, 0.7500], [0.6508, 0.8254, 0.7500], [0.0000, 0.0000, 0.5000], [0.6667, 0.3333, 0.5474], [0.0000, 0.0000, 0.0000], [0.3333, 0.6667, 0.4526], [0.6667, 0.3333, 0.9526], [0.3333, 0.6667, 0.0474]]
}

=====

Entry 4:
{
  "formula": "Hf2Al3",
  "functional": "PBE",
  "state": "relaxed",
  "dos_ef_per_ev_cell": 2.79,
  "density_g_cm3": 7.85,
  "crystal_system": "trigonal",
  "spacegroup": "R-3m",
  "de_polymorph_kj_per_mol_atoms": 18.8,
  "cell": [[-1.9705, 4.0387, 0.6102], [-4.5207, 0.3139, 0.1761], [-2.0119, 0.7464, 5.4150]],
  "species": ["Al", "Al", "Al", "Hf", "Hf"],
  "fractional_positions": [[0.1793, 0.1793, 0.4620], [0.8207, 0.8207, 0.5380], [0.0000, 0.0000, 0.0000], [0.5997, 0.5997, 0.2009], [0.4003, 0.4003, 0.7991]]
}

=====

Repeat the third record exactly.
{
  "formula": "HfAl",
  "functional": "PBE",
  "state": "relaxed",
  "energy_ev_per_atom": -7.142,
  "dos_ef_per_ev_cell": 9.44,
  "density_g_cm3": 8.87,
  "crystal_system": "hexagonal",
  "spacegroup": "P6_3/mmc",
  "cell": [[-4.4278, 2.9544, 1.2881], [-0.3088, -5.4653, -0.1684], [2.2376, -0.3910, 8.5886]],
  "species": ["Al", "Al", "Al", "Al", "Al", "Al", "Hf", "Hf", "Hf", "Hf", "Hf", "Hf"],
  "fractional_positions": [[0.1746, 0.3492, 0.7500], [0.3492, 0.1746, 0.2500], [0.8254, 0.1746, 0.2500], [0.8254, 0.6508, 0.2500], [0.1746, 0.8254, 0.7500], [0.6508, 0.8254, 0.7500], [0.0000, 0.0000, 0.5000], [0.6667, 0.3333, 0.5474], [0.0000, 0.0000, 0.0000], [0.3333, 0.6667, 0.4526], [0.6667, 0.3333, 0.9526], [0.3333, 0.6667, 0.0474]]
}

=====

Repeat the first record exactly.
{
  "formula": "Hf4Al3",
  "functional": "PBE",
  "state": "relaxed",
  "energy_ev_per_atom": -7.412,
  "dos_ef_per_ev_cell": 5.86,
  "density_g_cm3": 9.29,
  "crystal_system": "monoclinic",
  "spacegroup": "C2/m",
  "cell": [[3.1685, 0.0000, 0.0000], [0.0000, 6.5652, -0.3831], [-1.5842, -2.4702, 6.9727]],
  "species": ["Al", "Al", "Al", "Hf", "Hf", "Hf", "Hf"],
  "fractional_positions": [[0.0000, 0.0000, 0.0000], [0.7839, 0.6895, 0.5677], [0.2161, 0.3105, 0.4323], [0.4357, 0.6207, 0.8715], [0.1505, 0.8248, 0.3009], [0.5643, 0.3793, 0.1285], [0.8495, 0.1752, 0.6991]]
}